(1)
Crystalline CaScPO2 at its relaxed geometry. Source: Alexandria, functional PBEsol.

* E_form (uncorrected): -1.636 eV per atom
* E: -6.64 eV/atom

Unit cell a=4.0873 b=4.0873 c=5.0612 alpha=90.00 beta=90.00 gamma=90.00
Element x y z (fractional)
1 Ca 0.0000 0.0000 0.0000
2 Sc 0.5000 0.5000 0.5000
3 P 0.5000 0.5000 0.0000
4 O 0.0000 0.5000 0.5000
5 O 0.5000 0.0000 0.5000

=====

(2)
Crystalline CaSn3P3O13 at its relaxed geometry. Source: Alexandria, functional PBEsol.

* E_form (uncorrected): -2.046 eV per atom
* E: -7.07 eV/atom

Unit cell a=7.6364 b=6.7493 c=11.0060 alpha=90.00 beta=98.70 gamma=90.00
Element x y z (fractional)
1 Ca 0.1515 0.2500 0.2049
2 Ca 0.8485 0.7500 0.7951
3 Sn 0.1751 0.2500 0.7540
4 Sn 0.2457 0.7500 0.4558
5 Sn 0.5000 0.0000 0.0000
6 Sn 0.5000 0.5000 0.0000
7 Sn 0.7543 0.2500 0.5442
8 Sn 0.8249 0.7500 0.2460
9 P 0.1621 0.7500 0.0920
10 P 0.2649 0.7500 0.7555
11 P 0.3041 0.2500 0.4803
12 P 0.6959 0.7500 0.5197
13 P 0.7351 0.2500 0.2445
14 P 0.8379 0.2500 0.9080
15 O 0.0216 0.7500 0.9807
16 O 0.0782 0.7500 0.2152
17 O 0.1410 0.5679 0.7577
18 O 0.1410 0.9321 0.7577
19 O 0.1591 0.2500 0.5711
20 O 0.2672 0.0725 0.3920
21 O 0.2672 0.4275 0.3920
22 O 0.2800 0.5579 0.1037
23 O 0.2800 0.9421 0.1037
24 O 0.3661 0.2500 0.9037
25 O 0.3766 0.7500 0.6539
26 O 0.4020 0.7500 0.8808
27 O 0.4807 0.2500 0.5667
28 O 0.5193 0.7500 0.4333
29 O 0.5980 0.2500 0.1192
30 O 0.6234 0.2500 0.3461
31 O 0.6339 0.7500 0.0963
32 O 0.7200 0.0579 0.8963
33 O 0.7200 0.4421 0.8963
34 O 0.7328 0.5725 0.6080
35 O 0.7328 0.9275 0.6080
36 O 0.8409 0.7500 0.4289
37 O 0.8590 0.0679 0.2423
38 O 0.8590 0.4321 0.2423
39 O 0.9218 0.2500 0.7848
40 O 0.9784 0.2500 0.0193

=====

(3)
Crystalline CaSnP4O12 at its relaxed geometry. Source: Alexandria, functional PBEsol.

* E_form (uncorrected): -2.231 eV per atom
* E: -7.37 eV/atom

Unit cell a=7.8429 b=7.8429 c=11.0571 alpha=114.94 beta=114.94 gamma=68.24
Element x y z (fractional)
1 Ca 0.0285 0.9715 0.7500
2 Ca 0.9715 0.0285 0.2500
3 Sn 0.0000 0.5000 0.5000
4 Sn 0.5000 0.0000 0.0000
5 P 0.2654 0.7279 0.0230
6 P 0.2721 0.7346 0.4770
7 P 0.3072 0.3220 0.8206
8 P 0.3220 0.3072 0.3206
9 P 0.6780 0.6928 0.6794
10 P 0.6928 0.6780 0.1794
11 P 0.7279 0.2654 0.5230
12 P 0.7346 0.2721 0.9770
13 O 0.1035 0.8173 0.0825
14 O 0.1620 0.2502 0.3268
15 O 0.1827 0.8965 0.4175
16 O 0.1979 0.7351 0.5837
17 O 0.2096 0.3819 0.6923
18 O 0.2502 0.1620 0.8268
19 O 0.2567 0.5371 0.3468
20 O 0.2649 0.8021 0.9163
21 O 0.2875 0.4980 0.9610
22 O 0.3819 0.2096 0.1923
23 O 0.4629 0.7433 0.1532
24 O 0.4980 0.2875 0.4610
25 O 0.5020 0.7125 0.5390
26 O 0.5371 0.2567 0.8468
27 O 0.6181 0.7904 0.8077
28 O 0.7125 0.5020 0.0390
29 O 0.7351 0.1979 0.0837
30 O 0.7433 0.4629 0.6532
31 O 0.7498 0.8380 0.1732
32 O 0.7904 0.6181 0.3077
33 O 0.8021 0.2649 0.4163
34 O 0.8173 0.1035 0.5825
35 O 0.8380 0.7498 0.6732
36 O 0.8965 0.1827 0.9175

=====

(4)
Crystalline CaSnP2O7 at its relaxed geometry. Source: Alexandria, functional PBEsol.

* E_form (uncorrected): -2.336 eV per atom
* E: -7.31 eV/atom
* offset from the most stable computed form: 5 meV/atom

Unit cell a=7.1967 b=10.0718 c=9.0227 alpha=90.00 beta=109.38 gamma=90.00
Element x y z (fractional)
1 Ca 0.1497 0.0164 0.2296
2 Ca 0.1497 0.4836 0.7296
3 Ca 0.8503 0.5164 0.2704
4 Ca 0.8503 0.9836 0.7704
5 Sn 0.3026 0.1410 0.8709
6 Sn 0.3026 0.3590 0.3709
7 Sn 0.6974 0.6410 0.6291
8 Sn 0.6974 0.8590 0.1291
9 P 0.0353 0.7139 0.0182
10 P 0.0353 0.7861 0.5182
11 P 0.4252 0.7363 0.2764
12 P 0.4252 0.7637 0.7764
13 P 0.5748 0.2363 0.2236
14 P 0.5748 0.2637 0.7236
15 P 0.9647 0.2139 0.4818
16 P 0.9647 0.2861 0.9818
17 O 0.0281 0.6382 0.8710
18 O 0.0281 0.8618 0.3710
19 O 0.0328 0.6345 0.5020
20 O 0.0328 0.8655 0.0020
21 O 0.1309 0.1740 0.4166
22 O 0.1309 0.3260 0.9166
23 O 0.2370 0.6665 0.1522
24 O 0.2370 0.8335 0.6522
25 O 0.3887 0.1867 0.2590
26 O 0.3887 0.3133 0.7590
27 O 0.4155 0.6141 0.7524
28 O 0.4155 0.8859 0.2524
29 O 0.4272 0.6867 0.4358
30 O 0.4272 0.8133 0.9358
31 O 0.5728 0.1867 0.0642
32 O 0.5728 0.3133 0.5642
33 O 0.5845 0.1141 0.7476
34 O 0.5845 0.3859 0.2476
35 O 0.6113 0.6867 0.2410
36 O 0.6113 0.8133 0.7410
37 O 0.7630 0.1665 0.3478
38 O 0.7630 0.3335 0.8478
39 O 0.8691 0.6740 0.0834
40 O 0.8691 0.8260 0.5834
41 O 0.9672 0.1345 0.9980
42 O 0.9672 0.3655 0.4980
43 O 0.9719 0.1382 0.6290
44 O 0.9719 0.3618 0.1290

=====

(5)
Crystalline CaSn2P2O10 at its relaxed geometry. Source: Alexandria, functional PBEsol.

* E_form (uncorrected): -2.165 eV per atom
* E: -7.15 eV/atom

Unit cell a=10.1058 b=9.0264 c=7.0003 alpha=77.03 beta=60.51 gamma=42.46
Element x y z (fractional)
1 Ca 0.1250 0.1250 0.1250
2 Ca 0.8750 0.8750 0.8750
3 Sn 0.0000 0.5000 0.5000
4 Sn 0.5000 0.0000 0.5000
5 Sn 0.5000 0.5000 0.0000
6 Sn 0.5000 0.5000 0.5000
7 P 0.0798 0.0798 0.6702
8 P 0.3298 0.3298 0.9202
9 P 0.6702 0.6702 0.0798
10 P 0.9202 0.9202 0.3298
11 O 0.0534 0.2179 0.4859
12 O 0.1197 0.4251 0.1492
13 O 0.1492 0.8060 0.1197
14 O 0.1940 0.8508 0.5749
15 O 0.2179 0.0534 0.7429
16 O 0.2571 0.5141 0.7821
17 O 0.2983 0.2983 0.4517
18 O 0.4251 0.1197 0.8060
19 O 0.4517 0.4517 0.2983
20 O 0.4859 0.7429 0.0534
21 O 0.5141 0.2571 0.9466
22 O 0.5483 0.5483 0.7017
23 O 0.5749 0.8803 0.1940
24 O 0.7017 0.7017 0.5483
25 O 0.7429 0.4859 0.2179
26 O 0.7821 0.9466 0.2571
27 O 0.8060 0.1492 0.4251
28 O 0.8508 0.1940 0.8803
29 O 0.8803 0.5749 0.8508
30 O 0.9466 0.7821 0.5141

=====

(6)
Crystalline CaSnP2O7 at its relaxed geometry. Source: Alexandria, functional PBEsol.

* E_form (uncorrected): -2.341 eV per atom
* E: -7.32 eV/atom
* offset from the most stable computed form: 0 meV/atom

Unit cell a=6.7893 b=6.8411 c=7.0765 alpha=82.64 beta=64.68 gamma=86.02
Element x y z (fractional)
1 Ca 0.2276 0.1542 0.3501
2 Ca 0.7724 0.8458 0.6499
3 Sn 0.3918 0.3161 0.7638
4 Sn 0.6082 0.6839 0.2362
5 P 0.1437 0.6724 0.1845
6 P 0.2710 0.8224 0.7242
7 P 0.7290 0.1776 0.2758
8 P 0.8563 0.3276 0.8155
9 O 0.0979 0.3145 0.6624
10 O 0.1082 0.8990 0.6382
11 O 0.1329 0.7130 0.9533
12 O 0.2462 0.4688 0.1902
13 O 0.2805 0.8343 0.1973
14 O 0.4112 0.9803 0.7398
15 O 0.4326 0.6671 0.5926
16 O 0.5674 0.3329 0.4074
17 O 0.5888 0.0197 0.2602
18 O 0.7195 0.1657 0.8027
19 O 0.7538 0.5312 0.8098
20 O 0.8671 0.2870 0.0467
21 O 0.8918 0.1010 0.3618
22 O 0.9021 0.6855 0.3376

=====

(7)
Crystalline CaTiSnP3O12 at its relaxed geometry. Source: Alexandria, functional PBEsol.

* E_form (uncorrected): -2.417 eV per atom
* E: -7.70 eV/atom

Unit cell a=8.8702 b=8.8702 c=8.8702 alpha=58.85 beta=58.85 gamma=58.85
Element x y z (fractional)
1 Ca 0.0000 0.0000 0.0000
2 Ca 0.5000 0.5000 0.5000
3 Ti 0.3579 0.3579 0.3579
4 Ti 0.8579 0.8579 0.8579
5 Sn 0.1507 0.1507 0.1507
6 Sn 0.6507 0.6507 0.6507
7 P 0.0467 0.7556 0.4603
8 P 0.2556 0.5467 0.9603
9 P 0.4603 0.0467 0.7556
10 P 0.5467 0.9603 0.2556
11 P 0.7556 0.4603 0.0467
12 P 0.9603 0.2556 0.5467
13 O 0.0067 0.8080 0.6191
14 O 0.0684 0.9203 0.2689
15 O 0.0873 0.7312 0.9419
16 O 0.1191 0.3080 0.5067
17 O 0.2134 0.3869 0.9821
18 O 0.2312 0.5873 0.4419
19 O 0.2689 0.0684 0.9203
20 O 0.3080 0.5067 0.1191
21 O 0.3869 0.9821 0.2134
22 O 0.4203 0.5684 0.7689
23 O 0.4419 0.2312 0.5873
24 O 0.4821 0.8869 0.7134
25 O 0.5067 0.1191 0.3080
26 O 0.5684 0.7689 0.4203
27 O 0.5873 0.4419 0.2312
28 O 0.6191 0.0067 0.8080
29 O 0.7134 0.4821 0.8869
30 O 0.7312 0.9419 0.0873
31 O 0.7689 0.4203 0.5684
32 O 0.8080 0.6191 0.0067
33 O 0.8869 0.7134 0.4821
34 O 0.9203 0.2689 0.0684
35 O 0.9419 0.0873 0.7312
36 O 0.9821 0.2134 0.3869

=====

(8)
Crystalline SrCaP2O at its relaxed geometry. Source: Alexandria, functional PBEsol.

* E_form (uncorrected): -0.009 eV per atom
* E: -4.17 eV/atom
* offset from the most stable computed form: 342 meV/atom

Unit cell a=5.3755 b=5.3755 c=4.4386 alpha=90.00 beta=90.00 gamma=90.00
Element x y z (fractional)
1 Sr 0.0000 0.0000 0.0000
2 Ca 0.5000 0.5000 0.5000
3 P 0.0000 0.5000 0.0000
4 P 0.5000 0.0000 0.0000
5 O 0.0000 0.0000 0.5000